[1]
Computed, not measured: a relaxed structure of Mn5Be2VTc2 at the PBE level of DFT.

Lattice parameters (Å, degrees): 8.6858 8.6858 2.9484 90.00 90.00 90.00
With the nearest neighbours (Å) after each atom.
Atoms (fractional coordinates):
Mn1 0.0000 0.5000 0.0000  4 Be 2.13
Mn2 0.0652 0.2060 0.0000  2 Be 2.14, 2 V 2.39
Mn3 0.2060 0.9348 0.0000  2 Be 2.14, 2 V 2.39
Mn4 0.2940 0.4348 0.0000  2 Be 2.14, 2 V 2.39
Mn5 0.4348 0.7060 0.0000  2 Be 2.14, 2 V 2.39
Mn6 0.5000 0.0000 0.0000  4 Be 2.13
Mn7 0.5652 0.2940 0.0000  2 Be 2.14, 2 V 2.39
Mn8 0.7060 0.5652 0.0000  2 Be 2.14, 2 V 2.39
Mn9 0.7940 0.0652 0.0000  2 Be 2.14, 2 V 2.39
Mn10 0.9348 0.7940 0.0000  2 Be 2.14, 2 V 2.39
Be1 0.1250 0.3750 0.5000  6 Mn 2.13-2.14
Be2 0.3750 0.8750 0.5000  6 Mn 2.13-2.14
Be3 0.6250 0.1250 0.5000  6 Mn 2.13-2.14
Be4 0.8750 0.6250 0.5000  6 Mn 2.13-2.14
V1 0.0000 0.0000 0.5000  8 Mn 2.39
V2 0.5000 0.5000 0.5000  8 Mn 2.39
Tc1 0.1741 0.6741 0.5000  3 Be 2.47-2.63, 10 Mn 2.60-2.75
Tc2 0.3259 0.1741 0.5000  3 Be 2.47-2.63, 10 Mn 2.60-2.75
Tc3 0.6741 0.8259 0.5000  3 Be 2.47-2.63, 10 Mn 2.60-2.75
Tc4 0.8259 0.3259 0.5000  3 Be 2.47-2.63, 10 Mn 2.60-2.75

Output
ΔE_f in meV/atom: -6
DOS(E_F) in states/eV/atom: 0.96
Raw total energy in eV per atom: -8.3215

=====

[2]
Computed, not measured: a relaxed structure of SrTbHg4 at the PBE level of DFT.

Lattice parameters (Å, degrees): 6.0870 6.0870 6.0870 60.00 60.00 60.00
With the nearest neighbours (Å) after each atom.
Atoms (fractional coordinates):
Sr1 0.0000 0.0000 0.0000  12 Hg 3.57, 4 Tb 3.73
Tb1 0.7500 0.7500 0.7500  12 Hg 3.57, 4 Sr 3.73
Hg1 0.3754 0.3754 0.3754  6 Hg 3.03-3.05
Hg2 0.3754 0.3754 0.8738  6 Hg 3.03-3.05
Hg3 0.3754 0.8738 0.3754  6 Hg 3.03-3.05
Hg4 0.8738 0.3754 0.3754  6 Hg 3.03-3.05

Output
ΔE_f in meV/atom: -238
DOS(E_F) in states/eV/atom: 0.80
Relative energy among the computed polymorphs in meV per atom: 163
Raw total energy in eV per atom: -1.4914

=====

[3]
Computed, not measured: a relaxed structure of Os2SeCl at the PBE level of DFT.

Lattice parameters (Å, degrees): 3.7869 3.7869 8.9875 98.03 98.03 44.18
With the nearest neighbours (Å) after each atom.
Atoms (fractional coordinates):
Os1 0.0000 0.0000 0.0000  3 Os 2.36-2.57
Os2 0.6989 0.6989 0.8420  1 Cl 2.23, 1 Os 2.36
Se1 0.3282 0.3282 0.1924  3 Os 2.66, 2 Se 2.85
Cl1 0.6948 0.6948 0.5938  1 Os 2.23

Output
DOS(E_F) in states/eV/atom: 0.32
ΔE_f (raw) in eV per atom: 0.276
Relative energy among the computed polymorphs in meV per atom: 53
Raw total energy in eV per atom: -6.6712

=====

[4]
Computed, not measured: a relaxed structure of CuB2C8N8 at the PBE level of DFT.

Lattice parameters (Å, degrees): 7.6583 7.6583 6.3123 92.74 92.74 57.22
With the nearest neighbours (Å) after each atom.
Atoms (fractional coordinates):
Cu1 0.0000 0.0000 0.0000  4 N 1.98
B1 0.3365 0.3365 0.6684  4 C 1.58-1.59
B2 0.6635 0.6635 0.3316  4 C 1.58-1.59
C1 0.2142 0.5669 0.7657  1 N 1.16
C2 0.2235 0.2235 0.7280  1 N 1.16
C3 0.3431 0.3431 0.4186  1 N 1.17
C4 0.4331 0.7858 0.2343  1 N 1.16
C5 0.5669 0.2142 0.7657  1 N 1.16
C6 0.6569 0.6569 0.5814  1 N 1.17
C7 0.7765 0.7765 0.2720  1 N 1.16
C8 0.7858 0.4331 0.2343  1 N 1.16
N1 0.1244 0.7356 0.8348  1 C 1.16
N2 0.1401 0.1401 0.7683  1 C 1.16
N3 0.2644 0.8756 0.1652  1 C 1.16
N4 0.3469 0.3469 0.2346  1 C 1.17
N5 0.6531 0.6531 0.7654  1 C 1.17
N6 0.7356 0.1244 0.8348  1 C 1.16
N7 0.8599 0.8599 0.2317  1 C 1.16
N8 0.8756 0.2644 0.1652  1 C 1.16

Output
ΔE_f (raw) in eV per atom: 0.340
Raw total energy in eV per atom: -7.9676